<P>
# La2HfOs

La2HfOs after structural relaxation (GGA-PBE, the Alexandria database).

Values from the calculation:
The spin magnetization comes out at 0.0 μB per formula unit.

a b c (Å): 10.237 10.237 7.680
angles (deg): 48.20 48.20 90.00
Positions (direct):
Hf  0.500  0.500  0.000
Hf  0.250  0.750  0.500
Os  0.000  0.000  0.000
Os  0.750  0.250  0.500
La  0.766  0.125  0.250
La  0.984  0.625  0.250
La  0.375  0.234  0.750
La  0.875  0.016  0.750

---

<Q>
# La2HfOs

La2HfOs after structural relaxation (GGA-PBE, the Alexandria database).

Values from the calculation:
The spin magnetization comes out at 0.0 μB per formula unit.

a b c (Å): 5.195 5.195 5.195
angles (deg): 60.00 60.00 60.00
Positions (direct):
Hf  0.000  0.000  0.000
Os  0.500  0.500  0.500
La  0.250  0.250  0.250
La  0.750  0.750  0.750

---

Which of them is the least stable? Correct choice: <Q>.

---

<P>
# La3HfOs

La3HfOs after structural relaxation (GGA-PBE, the Alexandria database).

Values from the calculation:
The spin magnetization comes out at 0.0 μB per formula unit.

a b c (Å): 5.478 5.478 5.478
angles (deg): 90.00 90.00 90.00
Positions (direct):
Hf  0.000  0.000  0.000
Os  0.500  0.500  0.500
La  0.000  0.500  0.000
La  0.000  0.000  0.500
La  0.500  0.000  0.000

---

<Q>
# La3HfOs

La3HfOs after structural relaxation (GGA-PBE, the Alexandria database).

Values from the calculation:
The spin magnetization comes out at 2.2 μB per formula unit.

a b c (Å): 5.565 5.565 5.565
angles (deg): 90.00 90.00 90.00
Last column: magnetic moment on the atom in μB.
Positions (direct):
Hf  0.500  0.500  0.500  0.88
Os  0.000  0.000  0.000  0.04
La  0.000  0.500  0.000  0.06
La  0.000  0.000  0.500  0.06
La  0.500  0.000  0.000  0.12

---

Which of them is the least stable? Correct choice: <P>.